No. 1
# TlIBr5 (PBE, optimized geometry)
# formation energy from raw total energies	-0.26	eV/atom
data_TlIBr5
_cell_length_a 7.455
_cell_length_b 7.697
_cell_length_c 12.739
_cell_angle_alpha 81.19
_cell_angle_beta 84.64
_cell_angle_gamma 72.66
_symmetry_space_group_name_H-M 'P 1'
_symmetry_Int_Tables_number 1
loop_
_symmetry_equiv_pos_as_xyz
'x,y,z'
loop_
_atom_site_label
_atom_site_type_symbol
_atom_site_fract_x
_atom_site_fract_y
_atom_site_fract_z
Tl1 Tl 0.000 0.000 0.000
Tl2 Tl 0.363 0.663 0.484
I1 I 0.647 0.358 0.777
I2 I 0.694 0.307 0.256
Br1 Br 0.014 0.125 0.771
Br2 Br 0.072 0.555 0.499
Br3 Br 0.283 0.101 0.031
Br4 Br 0.303 0.575 0.786
Br5 Br 0.443 0.940 0.531
Br6 Br 0.486 0.669 0.270
Br7 Br 0.654 0.348 0.553
Br8 Br 0.672 0.341 0.992
Br9 Br 0.865 0.740 0.983
Br10 Br 0.891 0.962 0.235

No. 2
# Ac3La2Pt4 (PBE, optimized geometry)
# N(E_F)	0.596	states/eV/atom
# formation enthalpy at 0 K	-1.078	eV/atom
data_Ac3La2Pt4
_cell_length_a 14.516
_cell_length_b 4.391
_cell_length_c 10.713
_cell_angle_alpha 90.00
_cell_angle_beta 120.98
_cell_angle_gamma 90.00
_symmetry_space_group_name_H-M 'C 1 2/m 1'
_symmetry_Int_Tables_number 12
loop_
_symmetry_equiv_pos_as_xyz
'x,y,z'
'-x,-y,-z'
'-x,y,-z'
'x,-y,z'
'x+1/2,y+1/2,z'
'-x+1/2,-y+1/2,-z'
'-x+1/2,y+1/2,-z'
'x+1/2,-y+1/2,z'
loop_
_atom_site_label
_atom_site_type_symbol
_atom_site_fract_x
_atom_site_fract_y
_atom_site_fract_z
Ac1 Ac 0.000 0.000 0.000
Ac2 Ac 0.200 0.000 0.804
La1 La 0.113 0.500 0.389
Pt1 Pt 0.095 0.500 0.890
Pt2 Pt 0.208 0.000 0.308

No. 3
# TmCdIn6 (PBE, optimized geometry)
# N(E_F)	0.506	states/eV/atom
# formation enthalpy at 0 K	-0.116	eV/atom
data_TmCdIn6
_cell_length_a 9.046
_cell_length_b 9.675
_cell_length_c 4.667
_cell_angle_alpha 90.00
_cell_angle_beta 90.00
_cell_angle_gamma 90.00
_symmetry_space_group_name_H-M 'C m m m'
_symmetry_Int_Tables_number 65
_symmetry_space_group_name_Hall '-C 2 2'
loop_
_atom_site_label
_atom_site_type_symbol
_atom_site_fract_x
_atom_site_fract_y
_atom_site_fract_z
Tm1 Tm 0.000 0.000 0.000
Cd1 Cd 0.000 0.500 0.000
In1 In 0.000 0.241 0.500
In2 In 0.240 0.500 0.500
In3 In 0.250 0.250 0.000

No. 4
# PrNdTm4 (PBE, optimized geometry)
# energy above the lowest structure with this stoichiometry	0	meV per atom
# N(E_F)	1.306	states/eV/atom
# formation enthalpy at 0 K	0.026	eV/atom
data_PrNdTm4
_cell_length_a 11.269
_cell_length_b 5.004
_cell_length_c 7.132
_cell_angle_alpha 90.00
_cell_angle_beta 108.53
_cell_angle_gamma 90.00
_symmetry_space_group_name_H-M 'C 1 2/m 1'
_symmetry_Int_Tables_number 12
loop_
_symmetry_equiv_pos_as_xyz
'x,y,z'
'-x,-y,-z'
'-x,y,-z'
'x,-y,z'
'x+1/2,y+1/2,z'
'-x+1/2,-y+1/2,-z'
'-x+1/2,y+1/2,-z'
'x+1/2,-y+1/2,z'
loop_
_atom_site_label
_atom_site_type_symbol
_atom_site_fract_x
_atom_site_fract_y
_atom_site_fract_z
Pr1 Pr 0.000 0.000 0.000
Nd1 Nd 0.000 0.000 0.500
Tm1 Tm 0.168 0.500 0.834
Tm2 Tm 0.169 0.500 0.335

No. 5
# NiBCl2 (PBE, optimized geometry)
# formation energy from raw total energies	1.08	eV/atom
# energy above the lowest structure with this stoichiometry	276	meV per atom
# N(E_F)	2.018	states/eV/atom
data_NiBCl2
_cell_length_a 6.305
_cell_length_b 6.305
_cell_length_c 6.305
_cell_angle_alpha 90.00
_cell_angle_beta 90.00
_cell_angle_gamma 90.00
_symmetry_space_group_name_H-M 'F m -3 m'
_symmetry_Int_Tables_number 225
_symmetry_space_group_name_Hall '-F 4 2 3'
loop_
_atom_site_label
_atom_site_type_symbol
_atom_site_fract_x
_atom_site_fract_y
_atom_site_fract_z
Ni1 Ni 0.000 0.000 0.000
B1 B 0.000 0.000 0.500
Cl1 Cl 0.250 0.250 0.250

No. 6
# KMnCl3 (PBE, optimized geometry)
# formation energy from raw total energies	-1.35	eV/atom
# N(E_F)	0.000	states/eV/atom
data_KMnCl3
_cell_length_a 3.752
_cell_length_b 8.209
_cell_length_c 13.866
_cell_angle_alpha 90.00
_cell_angle_beta 90.00
_cell_angle_gamma 90.00
_symmetry_space_group_name_H-M 'A m m 2'
_symmetry_Int_Tables_number 38
loop_
_symmetry_equiv_pos_as_xyz
'x,y,z'
'-x,-y,z'
'-x,y,z'
'x,-y,z'
'x,y+1/2,z+1/2'
'-x,-y+1/2,z+1/2'
'-x,y+1/2,z+1/2'
'x,-y+1/2,z+1/2'
loop_
_atom_site_label
_atom_site_type_symbol
_atom_site_fract_x
_atom_site_fract_y
_atom_site_fract_z
K1 K 0.000 0.000 0.000
Mn1 Mn 0.500 0.000 0.334
Cl1 Cl 0.000 0.198 0.373
Cl2 Cl 0.500 0.000 0.165

No. 7
# LiCa2Ga4Ir3 (PBE, optimized geometry)
# N(E_F)	0.409	states/eV/atom
# formation enthalpy at 0 K	-0.550	eV/atom
data_LiCa2Ga4Ir3
_cell_length_a 4.293
_cell_length_b 4.293
_cell_length_c 10.218
_cell_angle_alpha 90.00
_cell_angle_beta 90.00
_cell_angle_gamma 90.00
_symmetry_space_group_name_H-M 'P -4 m 2'
_symmetry_Int_Tables_number 115
loop_
_symmetry_equiv_pos_as_xyz
'x,y,z'
'y,-x,-z'
'-x,-y,z'
'-y,x,-z'
'-x,y,z'
'-y,-x,-z'
'x,-y,z'
'y,x,-z'
loop_
_atom_site_label
_atom_site_type_symbol
_atom_site_fract_x
_atom_site_fract_y
_atom_site_fract_z
Li1 Li 0.000 0.000 0.000
Ca1 Ca 0.000 0.500 0.748
Ga1 Ga 0.000 0.000 0.500
Ga2 Ga 0.000 0.500 0.126
Ga3 Ga 0.500 0.500 0.500
Ir1 Ir 0.000 0.500 0.367
Ir2 Ir 0.500 0.500 0.000

No. 8
# AgHg6PtI2 (PBE, optimized geometry)
# formation energy from raw total energies	-0.05	eV/atom
# N(E_F)	0.260	states/eV/atom
data_AgHg6PtI2
_cell_length_a 11.637
_cell_length_b 7.263
_cell_length_c 7.638
_cell_angle_alpha 90.00
_cell_angle_beta 97.23
_cell_angle_gamma 90.00
_symmetry_space_group_name_H-M 'C 1 2/m 1'
_symmetry_Int_Tables_number 12
loop_
_symmetry_equiv_pos_as_xyz
'x,y,z'
'-x,-y,-z'
'-x,y,-z'
'x,-y,z'
'x+1/2,y+1/2,z'
'-x+1/2,-y+1/2,-z'
'-x+1/2,y+1/2,-z'
'x+1/2,-y+1/2,z'
loop_
_atom_site_label
_atom_site_type_symbol
_atom_site_fract_x
_atom_site_fract_y
_atom_site_fract_z
Ag1 Ag 0.000 0.000 0.000
Hg1 Hg 0.092 0.208 0.343
Hg2 Hg 0.182 0.500 0.746
Pt1 Pt 0.000 0.500 0.500
I1 I 0.207 0.000 0.866

| no. | density (Mg/m³) |
| --- | --- |
| 1 | 3.52 |
| 2 | 9.87 |
| 3 | 7.89 |
| 4 | 8.37 |
| 5 | 3.72 |
| 6 | 1.56 |
| 7 | 8.31 |
| 8 | 9.13 |